DFT (PBE with a Hubbard U) results for a relaxed structure of CrN2F4.

Unit cell a=7.9719 b=7.9719 c=7.9719 alpha=156.75 beta=156.45 gamma=33.33
Closest atoms and distances in Å follow each position.
Sites, in units of the cell vectors:
Cr1 0.0000 0.0000 0.0000  8 F 1.97-1.98
N1 0.2503 0.2503 0.0000  4 N 2.29
N2 0.7497 0.7497 0.0000  4 N 2.29
F1 0.0745 0.5745 0.5000  2 Cr 1.97
F2 0.4262 0.9262 0.5000  2 Cr 1.98
F3 0.5738 0.0738 0.5000  2 Cr 1.98
F4 0.9255 0.4255 0.5000  2 Cr 1.97

total energy	-4.55	eV/atom
SG	Immm (71)